Below is crystalline KNaHgH2 at its relaxed geometry, with properties calculated at the PBE level.

Cell: 4.4750 4.4750 5.4589 Å, 90.00 90.00 90.00°
Sites, in units of the cell vectors:
1 K 0.0000 0.0000 0.0000
2 Na 0.5000 0.5000 0.0000
3 Hg 0.5000 0.5000 0.5000
4 H 0.0000 0.5000 0.5000
5 H 0.5000 0.0000 0.5000

Properties
Total magnetization ... 0.000 μB/f.u.
E_tot ... -1.51 eV/atom

---

Below is crystalline SmMgZnPt at its relaxed geometry, with properties calculated at the PBE level.

Cell: 4.8549 4.8549 4.8549 Å, 60.00 60.00 60.00°
Sites, in units of the cell vectors:
1 Sm 0.0000 0.0000 0.0000
2 Mg 0.5000 0.5000 0.5000
3 Zn 0.7500 0.7500 0.7500
4 Pt 0.2500 0.2500 0.2500

Properties
Formation energy ... -0.652 eV/atom
Total magnetization ... 0.000 μB/f.u.
E_tot ... -4.06 eV/atom

---

Below is crystalline LaTeAs2Se at its relaxed geometry, with properties calculated at the PBE level.

Cell: 5.2477 5.2477 5.3225 Å, 90.00 90.00 90.00°
Sites, in units of the cell vectors:
1 La 0.0000 0.0000 0.0000
2 Te 0.5000 0.5000 0.5000
3 As 0.0000 0.5000 0.5000
4 As 0.5000 0.0000 0.5000
5 Se 0.5000 0.5000 0.0000

Properties
ΔE_f (raw) ... -0.35 eV/f.u.
Excess energy over the best structure of this formula in the dataset ... 0.000 eV per atom
Total magnetization ... 0.000 μB/f.u.
E_tot ... -4.24 eV/atom

---

Below is crystalline PmHo2Er5 at its relaxed geometry, with properties calculated at the PBE level.

Cell: 7.0574 14.1206 4.9787 Å, 90.00 90.00 90.00°
Sites, in units of the cell vectors:
1 Pm 0.0000 0.0000 0.0000
2 Pm 0.5000 0.5000 0.0000
3 Ho 0.2493 0.3742 0.5000
4 Ho 0.2507 0.8742 0.5000
5 Ho 0.7493 0.1258 0.5000
6 Ho 0.7507 0.6258 0.5000
7 Er 0.9998 0.2510 0.0000
8 Er 0.0000 0.5000 0.0000
9 Er 0.0002 0.7490 0.0000
10 Er 0.2504 0.1257 0.5000
11 Er 0.2496 0.6257 0.5000
12 Er 0.5000 0.0000 0.0000
13 Er 0.4998 0.2490 0.0000
14 Er 0.5002 0.7510 0.0000
15 Er 0.7504 0.3743 0.5000
16 Er 0.7496 0.8743 0.5000

Properties
Formation energy ... 0.019 eV/atom
Excess energy over the best structure of this formula in the dataset ... 0.000 eV per atom
Total magnetization ... 0.000 μB/f.u.
E_tot ... -4.57 eV/atom

---

> Which of these has the highest E_tot?

KNaHgH2

---

> Which of these has the highest E_tot?

KNaHgH2

---

> Which value of total magnetization does entry 4 give?

0.000 μB/f.u.